*w*
CsP2IrS | PBE-GGA | relaxed

Calculated values
V	119.27	Å³/f.u.
space-group type	P4/mmm (123)

abc: 4.618 4.618 5.592
angles: 90.00 90.00 90.00
Fractional positions:
Cs1 0.000 0.000 0.000
P1 0.000 0.500 0.500
P2 0.500 0.000 0.500
Ir1 0.500 0.500 0.500
S1 0.500 0.500 0.000

*x*
CsP2IrS | PBE-GGA | relaxed

Calculated values
V	154.09	Å³/f.u.
space-group type	P4/mmm (123)

abc: 5.469 5.469 5.151
angles: 90.00 90.00 90.00
Fractional positions:
Cs1 0.000 0.000 0.000
P1 0.000 0.500 0.000
P2 0.500 0.000 0.000
Ir1 0.500 0.500 0.500
S1 0.000 0.000 0.500

Order from most stable to least stable according to the calculation: *w*, *x*

*w*
CsIrPb3 | PBE-GGA | relaxed

Calculated values
V	223.05	Å³/f.u.
space-group type	Pm-3m (221)

abc: 6.065 6.065 6.065
angles: 90.00 90.00 90.00
Fractional positions:
Cs1 0.000 0.000 0.000
Ir1 0.500 0.500 0.500
Pb1 0.000 0.000 0.500
Pb2 0.000 0.500 0.000
Pb3 0.500 0.000 0.000

*x*
CsIrPb3 | PBE-GGA | relaxed

Calculated values
V	169.44	Å³/f.u.
space-group type	Pm-3m (221)

abc: 5.534 5.534 5.534
angles: 90.00 90.00 90.00
Fractional positions:
Cs1 0.000 0.000 0.000
Ir1 0.500 0.500 0.500
Pb1 0.000 0.500 0.500
Pb2 0.500 0.000 0.500
Pb3 0.500 0.500 0.000

Order from most stable to least stable according to the calculation: *x*, *w*

*w*
CsIr3Pt | PBE-GGA | relaxed

Calculated values
V	118.54	Å³/f.u.
space-group type	Pm-3m (221)

abc: 4.912 4.912 4.912
angles: 90.00 90.00 90.00
Fractional positions:
Cs1 0.000 0.000 0.000
Ir1 0.000 0.000 0.500
Ir2 0.000 0.500 0.000
Ir3 0.500 0.000 0.000
Pt1 0.500 0.500 0.500

*x*
CsIr3Pt | PBE-GGA | relaxed

Calculated values
V	124.07	Å³/f.u.
space-group type	Pm-3m (221)

abc: 4.988 4.988 4.988
angles: 90.00 90.00 90.00
Fractional positions:
Cs1 0.000 0.000 0.000
Ir1 0.000 0.500 0.500
Ir2 0.500 0.000 0.500
Ir3 0.500 0.500 0.000
Pt1 0.500 0.500 0.500

Order from most stable to least stable according to the calculation: *x*, *w*

*w*
Cs2IrPt | PBE-GGA | relaxed

Calculated values
V	188.20	Å³/f.u.
space-group type	I-42d (122)

abc: 9.118 9.118 9.118
angles: 94.10 94.10 148.99
Fractional positions:
Cs1 0.375 0.208 0.333
Cs2 0.792 0.125 0.167
Cs3 0.875 0.042 0.667
Cs4 0.958 0.625 0.833
Ir1 0.000 0.000 0.000
Ir2 0.750 0.250 0.500
Pt1 0.250 0.750 0.500
Pt2 0.500 0.500 0.000

*x*
Cs2IrPt | PBE-GGA | relaxed

Calculated values
V	123.31	Å³/f.u.
space-group type	Fm-3m (225)

abc: 5.587 5.587 5.587
angles: 60.00 60.00 60.00
Fractional positions:
Cs1 0.250 0.250 0.250
Cs2 0.750 0.750 0.750
Ir1 0.000 0.000 0.000
Pt1 0.500 0.500 0.500

Order from most stable to least stable according to the calculation: *w*, *x*